1.
CaLa2P: optimized geometry, PBE-GGA.

Cell lengths 3.943, 4.306, 8.320 Å; angles 75.05, 90.00, 90.00 degrees
Element x y z (fractional)
La1 0.000 0.917 0.041
La2 0.500 0.263 0.348
P1 0.000 0.734 0.407
Ca1 0.500 0.586 0.704

## Properties
The size of the total moment comes out at 0.0 μB/f.u. The calculation puts the volume at 34.119 A^3/atom. The value obtained for the mass density is 4.24 Mg/m³. The calculation puts the formation enthalpy at 0 K at -0.63 eV per atom.

2.
Ta2SbAs: optimized geometry, PBE-GGA.

Cell lengths 9.078, 9.078, 9.078 Å; angles 20.88, 20.88, 20.88 degrees
Element x y z (fractional)
Ta1 0.994 0.994 0.994
Sb1 0.744 0.744 0.744
As1 0.513 0.513 0.513
Ta2 0.249 0.249 0.249

## Properties
The formation energy without anion corrections is 0.03 eV/atom. The size of the total moment comes out at 0.0 μB/f.u. The calculation puts the volume at 20.794 A^3/atom. The value obtained for the mass density is 11.15 Mg/m³.

3.
Ac2GeP2N6: optimized geometry, PBE-GGA.

Cell lengths 5.464, 5.464, 6.093 Å; angles 90.00, 90.00, 120.00 degrees
Element x y z (fractional)
N1 0.337 0.170 0.222
N2 0.833 0.663 0.222
Ge1 0.000 0.000 0.000
P1 0.333 0.667 0.855
N3 0.663 0.830 0.778
Ac1 0.667 0.333 0.663
N4 0.167 0.337 0.778
N5 0.170 0.833 0.778
N6 0.830 0.167 0.222
Ac2 0.333 0.667 0.337
P2 0.667 0.333 0.145

## Properties
The formation energy without anion corrections is -0.44 eV/atom. The size of the total moment comes out at 0.0 μB/f.u. The calculation puts the volume at 14.323 A^3/atom. The value obtained for the mass density is 7.09 Mg/m³.

4.
Si2AgI8: optimized geometry, PBE-GGA.

Cell lengths 7.100, 8.905, 8.905 Å; angles 81.14, 83.71, 83.71 degrees
Element x y z (fractional)
I1 0.210 0.933 0.283
I2 0.857 0.618 0.618
Ag1 0.000 0.000 0.000
I3 0.790 0.067 0.717
I4 0.210 0.283 0.933
Si1 0.311 0.203 0.203
Si2 0.689 0.797 0.797
I5 0.667 0.197 0.197
I6 0.790 0.717 0.067
I7 0.333 0.803 0.803
I8 0.143 0.382 0.382

## Properties
The formation energy without anion corrections is -0.20 eV/atom. The size of the total moment comes out at 0.0 μB/f.u. The calculation puts the volume at 50.042 A^3/atom. The value obtained for the mass density is 3.56 Mg/m³.

5.
Tb2Sc4Si3O2: optimized geometry, PBE-GGA.

Cell lengths 4.260, 4.260, 11.809 Å; angles 100.39, 100.39, 90.00 degrees
Element x y z (fractional)
Tb1 0.695 0.695 0.391
Si1 0.000 0.000 0.000
Tb2 0.305 0.305 0.609
Sc1 0.078 0.578 0.157
Si2 0.829 0.829 0.659
Sc2 0.922 0.422 0.843
Si3 0.171 0.171 0.341
Sc3 0.578 0.078 0.157
Sc4 0.422 0.922 0.843
O1 0.411 0.411 0.821
O2 0.589 0.589 0.179

## Properties
The formation energy without anion corrections is -1.59 eV/atom. The size of the total moment comes out at 0.0 μB/f.u. The calculation puts the volume at 18.835 A^3/atom. The value obtained for the mass density is 4.92 Mg/m³.

6.
Mn2InRuN: optimized geometry, PBE-GGA.

Cell lengths 4.804, 4.960, 4.804 Å; angles 90.00, 90.00, 90.00 degrees
Site moments in Bohr magnetons follow the coordinates.
Element x y z (fractional)
Mn1 0.500 0.000 0.000  0.17
In1 0.000 0.000 0.000  0.00
Ru1 0.000 0.500 0.000  -1.63
N1 0.500 0.500 0.500  1.25
Mn2 0.000 0.000 0.500  0.06

## Properties
The formation energy without anion corrections is 3.32 eV/atom. The size of the total moment comes out at 0.1 μB/f.u. The calculation puts the volume at 22.897 A^3/atom. The value obtained for the mass density is 4.93 Mg/m³.

7.
Ca3AcF: optimized geometry, PBE-GGA.

Cell lengths 5.476, 5.476, 5.476 Å; angles 90.00, 90.00, 90.00 degrees
Site moments in Bohr magnetons follow the coordinates.
Element x y z (fractional)
Ca1 0.000 0.000 0.500  0.05
F1 0.000 0.000 0.000  0.01
Ac1 0.500 0.500 0.500  0.16
Ca2 0.000 0.500 0.000  0.05
Ca3 0.500 0.000 0.000  0.05

## Properties
The formation energy without anion corrections is -0.90 eV/atom. The size of the total moment comes out at 1.1 μB/f.u. The calculation puts the volume at 32.845 A^3/atom. The value obtained for the mass density is 3.70 Mg/m³.

8.
SrAs3I: optimized geometry, PBE-GGA.

Cell lengths 5.799, 5.799, 5.799 Å; angles 90.00, 90.00, 90.00 degrees
Site moments in Bohr magnetons follow the coordinates.
Element x y z (fractional)
As1 0.000 0.500 0.000  0.20
As2 0.000 0.000 0.500  0.25
I1 0.500 0.500 0.500  0.28
As3 0.500 0.000 0.000  0.23
Sr1 0.000 0.000 0.000  0.01

## Properties
The formation energy without anion corrections is 0.97 eV/atom. The size of the total moment comes out at 2.0 μB/f.u. The calculation puts the volume at 38.994 A^3/atom. The value obtained for the mass density is 3.74 Mg/m³.

9.
TiMnPd: optimized geometry, PBE-GGA.

Cell lengths 2.753, 4.353, 4.353 Å; angles 120.00, 90.00, 90.00 degrees
Site moments in Bohr magnetons follow the coordinates.
Element x y z (fractional)
Pd1 0.326 0.667 0.333  0.27
Mn1 0.672 0.333 0.667  3.28
Ti1 0.002 0.000 0.000  -0.48

## Properties
The size of the total moment comes out at 3.1 μB/f.u. The calculation puts the volume at 15.058 A^3/atom. The value obtained for the mass density is 7.69 Mg/m³. The calculation puts the formation enthalpy at 0 K at -0.16 eV per atom.

10.
RhAuO3: optimized geometry, PBE-GGA.

Cell lengths 4.066, 4.066, 4.066 Å; angles 90.00, 90.00, 90.00 degrees
Site moments in Bohr magnetons follow the coordinates.
Element x y z (fractional)
Rh1 0.500 0.500 0.500  2.17
O1 0.500 0.000 0.000  0.33
O2 0.000 0.000 0.500  0.33
Au1 0.000 0.000 0.000  0.17
O3 0.000 0.500 0.000  0.33

## Properties
The formation energy without anion corrections is 0.85 eV/atom. The size of the total moment comes out at 3.6 μB/f.u. The calculation puts the volume at 13.439 A^3/atom. The value obtained for the mass density is 8.60 Mg/m³.

11.
RbPuCuF6: optimized geometry, PBE-GGA.

Cell lengths 8.586, 7.517, 8.221 Å; angles 117.21, 121.48, 90.00 degrees
Site moments in Bohr magnetons follow the coordinates.
Element x y z (fractional)
F1 0.180 0.889 0.719  0.03
F2 0.533 0.283 0.065  0.04
Pu1 0.500 0.000 0.500  -4.58
F3 0.820 0.111 0.281  0.03
Pu2 0.000 0.000 0.500  -4.58
F4 0.467 0.717 0.935  0.04
F5 0.820 0.070 0.640  0.02
Rb1 0.235 0.485 0.471  0.00
Cu1 0.500 0.000 0.000  0.42
F6 0.540 0.330 0.719  0.03
F7 0.180 0.330 0.719  0.03
F8 0.820 0.670 0.281  0.03
F9 0.180 0.930 0.360  0.02
F10 0.540 0.889 0.719  0.03
Rb2 0.765 0.515 0.529  0.00
F11 0.460 0.111 0.281  0.03
F12 0.460 0.670 0.281  0.03
Cu2 0.500 0.500 0.000  0.42

## Properties
The formation energy without anion corrections is -2.77 eV/atom. The size of the total moment comes out at 4.0 μB/f.u. The calculation puts the volume at 21.220 A^3/atom. The value obtained for the mass density is 4.41 Mg/m³.

12.
LiPdAu3: optimized geometry, PBE-GGA.

Cell lengths 9.145, 7.616, 7.616 Å; angles 64.54, 52.57, 52.57 degrees
Element x y z (fractional)
Au1 0.950 0.325 0.077
Pd1 0.650 0.273 0.523
Au2 0.461 0.568 0.817
Au3 0.648 0.776 0.029
Au4 0.852 0.971 0.224
Li1 0.750 0.127 0.873
Au5 0.539 0.432 0.183
Au6 0.352 0.224 0.971
Li2 0.250 0.873 0.127
Li3 0.750 0.623 0.377
Au7 0.550 0.923 0.675
Au8 0.148 0.029 0.776
Pd2 0.850 0.477 0.727
Pd3 0.150 0.523 0.273
Au9 0.450 0.077 0.325
Au10 0.961 0.817 0.568
Au11 0.039 0.183 0.432
Li4 0.250 0.377 0.623
Pd4 0.350 0.727 0.477
Au12 0.050 0.675 0.923

## Properties
The size of the total moment comes out at 0.0 μB/f.u. The calculation puts the volume at 16.649 A^3/atom. The value obtained for the mass density is 14.05 Mg/m³. The calculation puts the formation enthalpy at 0 K at -0.29 eV per atom.

13.
PmErTh: optimized geometry, PBE-GGA.

Cell lengths 3.597, 3.597, 7.953 Å; angles 103.07, 103.07, 90.00 degrees
Element x y z (fractional)
Pm1 0.995 0.995 0.989
Th1 0.331 0.331 0.663
Er1 0.674 0.674 0.348

## Properties
The size of the total moment comes out at 0.0 μB/f.u. The calculation puts the volume at 32.499 A^3/atom. The value obtained for the mass density is 9.27 Mg/m³. The calculation puts the formation enthalpy at 0 K at 0.03 eV per atom.

14.
Zr2AgS2: optimized geometry, PBE-GGA.

Cell lengths 7.455, 7.455, 3.325 Å; angles 90.00, 90.00, 90.00 degrees
Element x y z (fractional)
S1 0.859 0.359 0.500
S2 0.641 0.859 0.500
Zr1 0.648 0.148 0.000
S3 0.359 0.141 0.500
Ag1 0.500 0.500 0.000
S4 0.141 0.641 0.500
Zr2 0.852 0.648 0.000
Ag2 0.000 0.000 0.000
Zr3 0.352 0.852 0.000
Zr4 0.148 0.352 0.000

## Properties
The formation energy without anion corrections is -0.86 eV/atom. The size of the total moment comes out at 0.0 μB/f.u. The calculation puts the volume at 18.482 A^3/atom. The value obtained for the mass density is 6.37 Mg/m³.

15.
ScAgSbS4: optimized geometry, PBE-GGA.

Cell lengths 7.621, 7.710, 7.710 Å; angles 60.32, 60.38, 60.38 degrees
Element x y z (fractional)
Ag1 0.638 0.612 0.112
S1 0.230 0.762 0.262
Sc1 0.500 0.000 0.500
Sb1 0.000 0.500 0.500
S2 0.254 0.238 0.738
S3 0.746 0.762 0.262
Sb2 0.000 0.000 0.000
Ag2 0.362 0.388 0.888
S4 0.239 0.784 0.738
Sc2 0.000 0.000 0.500
S5 0.239 0.238 0.284
S6 0.761 0.216 0.262
S7 0.761 0.762 0.716
S8 0.770 0.238 0.738

## Properties
The formation energy without anion corrections is -0.77 eV/atom. The size of the total moment comes out at 0.0 μB/f.u. The calculation puts the volume at 23.066 A^3/atom. The value obtained for the mass density is 4.14 Mg/m³.

16.
Tm3Ag2C: optimized geometry, PBE-GGA.

Cell lengths 4.948, 7.058, 7.579 Å; angles 90.00, 70.95, 90.00 degrees
Element x y z (fractional)
Ag1 0.704 0.250 0.594
Tm1 0.881 0.500 0.238
Ag2 0.703 0.750 0.594
Ag3 0.296 0.750 0.406
C1 0.000 0.250 0.000
Tm2 0.500 0.750 0.000
C2 0.000 0.750 0.000
Tm3 0.119 0.000 0.762
Tm4 0.119 0.500 0.762
Tm5 0.500 0.250 0.000
Tm6 0.881 0.000 0.238
Ag4 0.297 0.250 0.406

## Properties
The size of the total moment comes out at 0.0 μB/f.u. The calculation puts the volume at 20.849 A^3/atom. The value obtained for the mass density is 9.75 Mg/m³. The calculation puts the formation enthalpy at 0 K at -0.32 eV per atom.

17.
Sn2Rh2Br: optimized geometry, PBE-GGA.

Cell lengths 7.751, 7.751, 3.230 Å; angles 90.00, 90.00, 90.00 degrees
Element x y z (fractional)
Rh1 0.639 0.139 0.000
Sn1 0.347 0.153 0.500
Rh2 0.139 0.361 0.000
Sn2 0.153 0.653 0.500
Br1 0.000 0.000 0.000
Br2 0.500 0.500 0.000
Rh3 0.861 0.639 0.000
Sn3 0.653 0.847 0.500
Rh4 0.361 0.861 0.000
Sn4 0.847 0.347 0.500

## Properties
The formation energy without anion corrections is -0.22 eV/atom. The size of the total moment comes out at 0.0 μB/f.u. The calculation puts the volume at 19.407 A^3/atom. The value obtained for the mass density is 8.95 Mg/m³.